Record 1
KCaBr2 | SCAN | PBEsol geometry

Lattice parameters (Å, degrees): 4.0659 4.2047 7.8671 90.00 90.00 90.00
Fractional positions:
K (0.0000, 0.0000, 0.0000)
Ca (0.0000, 0.5000, 0.5000)
Br (0.5000, 0.5000, 0.2323)
Br (0.5000, 0.5000, 0.7677)

The value obtained for the formation energy (no corrections) is -1.638 eV per atom. The energy relative to the lowest polymorph listed for this composition comes out at 0.000 eV per atom. The space group is Pmmm.

Record 2
Be2FeTe | SCAN | PBEsol geometry

Lattice parameters (Å, degrees): 2.9804 3.9081 4.5419 90.00 95.54 90.00
Fractional positions:
Be (0.2113, 0.0000, 0.3301)
Be (0.7887, 0.0000, 0.6699)
Fe (0.5000, 0.5000, 0.5000)
Te (0.0000, 0.5000, 0.0000)

The value obtained for the formation energy (no corrections) is 0.563 eV per atom. The space group is P2/m.

Record 3
CdRhCl2 | SCAN | PBEsol geometry

Lattice parameters (Å, degrees): 3.2233 3.2233 8.9167 90.00 90.00 120.64
Fractional positions:
Cd (0.0000, 0.0000, 0.0000)
Rh (0.0000, 0.0000, 0.5000)
Cl (0.5000, 0.5000, 0.3113)
Cl (0.5000, 0.5000, 0.6887)

The value obtained for the formation energy (no corrections) is -0.222 eV per atom. The energy relative to the lowest polymorph listed for this composition comes out at 0.264 eV per atom. The space group is Cmmm.

Record 4
BiPbSe2Br | SCAN | PBEsol geometry

Lattice parameters (Å, degrees): 5.5184 5.5184 5.4026 90.00 90.00 90.00
Fractional positions:
Bi (0.0000, 0.0000, 0.0000)
Pb (0.5000, 0.5000, 0.5000)
Se (0.0000, 0.5000, 0.0000)
Se (0.5000, 0.0000, 0.0000)
Br (0.0000, 0.0000, 0.5000)

The value obtained for the formation energy (no corrections) is -0.008 eV per atom. The space group is P4/mmm.

Record 5
GaPPd3 | SCAN | PBEsol geometry

Lattice parameters (Å, degrees): 4.5164 4.5164 4.5164 90.00 90.00 90.00
Fractional positions:
Ga (0.0000, 0.0000, 0.0000)
P (0.5000, 0.5000, 0.5000)
Pd (0.0000, 0.0000, 0.5000)
Pd (0.0000, 0.5000, 0.0000)
Pd (0.5000, 0.0000, 0.0000)

The formation energy is 0.560 eV per atom. The space group is Pm-3m.

Record 6
ZnH20S2N2O14 | SCAN | PBEsol geometry

Lattice parameters (Å, degrees): 6.0432 13.6381 8.6251 90.00 100.18 90.00
Fractional positions:
Zn (0.0000, 0.0000, 0.0000)
Zn (0.0000, 0.5000, 0.5000)
H (0.0498, 0.0818, 0.2872)
H (0.0498, 0.4182, 0.7872)
H (0.1230, 0.6130, 0.7450)
H (0.1230, 0.8870, 0.2450)
H (0.1803, 0.5197, 0.2517)
H (0.1803, 0.9803, 0.7517)
H (0.2088, 0.6754, 0.0306)
H (0.2088, 0.8246, 0.5306)
H (0.2788, 0.6663, 0.2266)
H (0.2788, 0.8337, 0.7266)
H (0.2806, 0.1590, 0.0487)
H (0.2806, 0.3410, 0.5487)
H (0.3135, 0.7250, 0.6382)
H (0.3135, 0.7750, 0.1382)
H (0.3204, 0.0916, 0.9009)
H (0.3204, 0.4084, 0.4009)
H (0.3584, 0.5727, 0.7102)
H (0.3584, 0.9273, 0.2102)
H (0.4885, 0.6762, 0.1193)
H (0.4885, 0.8238, 0.6193)
H (0.5115, 0.1762, 0.3807)
H (0.5115, 0.3238, 0.8807)
H (0.6416, 0.0727, 0.7898)
H (0.6416, 0.4273, 0.2898)
H (0.6796, 0.5916, 0.5991)
H (0.6796, 0.9084, 0.0991)
H (0.6865, 0.2250, 0.8618)
H (0.6865, 0.2750, 0.3618)
H (0.7194, 0.6590, 0.4513)
H (0.7194, 0.8410, 0.9513)
H (0.7212, 0.1663, 0.2734)
H (0.7212, 0.3337, 0.7734)
H (0.7912, 0.1754, 0.4694)
H (0.7912, 0.3246, 0.9694)
H (0.8197, 0.0197, 0.2483)
H (0.8197, 0.4803, 0.7483)
H (0.8770, 0.1130, 0.7550)
H (0.8770, 0.3870, 0.2550)
H (0.9502, 0.5818, 0.2128)
H (0.9502, 0.9182, 0.7128)
S (0.2398, 0.1385, 0.5920)
S (0.2398, 0.3615, 0.0920)
S (0.7602, 0.6385, 0.9080)
S (0.7602, 0.8615, 0.4080)
N (0.3265, 0.6988, 0.1286)
N (0.3265, 0.8012, 0.6286)
N (0.6735, 0.1988, 0.3714)
N (0.6735, 0.3012, 0.8714)
O (0.0014, 0.6385, 0.8914)
O (0.0014, 0.8615, 0.3914)
O (0.0854, 0.5690, 0.2975)
O (0.0854, 0.9310, 0.7975)
O (0.2103, 0.5999, 0.6575)
O (0.2103, 0.9001, 0.1575)
O (0.2619, 0.1095, 0.4300)
O (0.2619, 0.3905, 0.9300)
O (0.2725, 0.0901, 0.0056)
O (0.2725, 0.4099, 0.5056)
O (0.3450, 0.2350, 0.6300)
O (0.3450, 0.2650, 0.1300)
O (0.3573, 0.0646, 0.7091)
O (0.3573, 0.4354, 0.2091)
O (0.6427, 0.5646, 0.7909)
O (0.6427, 0.9354, 0.2909)
O (0.6550, 0.7350, 0.8700)
O (0.6550, 0.7650, 0.3700)
O (0.7275, 0.5901, 0.4944)
O (0.7275, 0.9099, 0.9944)
O (0.7381, 0.6095, 0.0700)
O (0.7381, 0.8905, 0.5700)
O (0.7897, 0.0999, 0.8425)
O (0.7897, 0.4001, 0.3425)
O (0.9146, 0.0690, 0.2025)
O (0.9146, 0.4310, 0.7025)
O (0.9986, 0.1385, 0.6086)
O (0.9986, 0.3615, 0.1086)

The calculation puts the total energy at -500.95 eV/cell. The space group is P2_1/c.

Summary of M_tot in μB per cell
0.00, 1.46, 0.00, 0.00, 0.00, 0.40
(order as listed above)